# 1
The following is a DFT calculation (PBE-GGA) of a relaxed structure of PaCCl.

a = 3.3469 Å, b = 3.3469 Å, c = 22.0847 Å
α = 90.00°, β = 90.00°, γ = 90.00°
Last column: nearest neighbours and their distance in Å.
Space group I4/mmm (No. 139)
Symmetry-distinct sites (fractional):
Pa: 0.0000 0.0000 0.1822 x4  5 C 2.30-2.47
C: 0.0000 0.0000 0.2864 x4  5 Pa 2.30-2.47
Cl: 0.0000 0.0000 0.4115 x4  1 C 2.76

## Properties
Crystal system: tetragonal
Size of the total moment: 0.00 μB per atom
Formation energy from raw total energies: -689 meV/atom
Volume: 247.38 Å³/cell

=====

# 2
The following is a DFT calculation (PBE-GGA) of a relaxed structure of Sm2SnPt.

a = 6.2049 Å, b = 4.4170 Å, c = 8.3711 Å
α = 90.00°, β = 111.28°, γ = 90.00°
Last column: nearest neighbours and their distance in Å.
Space group P2_1/m (No. 11)
Symmetry-distinct sites (fractional):
Sm: 0.2073 0.2500 0.4460 x2  3 Pt 2.99-3.11, 3 Sn 3.24-3.28
Sm: 0.2284 0.2500 0.9046 x2  2 Pt 2.98, 4 Sn 3.22-3.24
Sn: 0.3251 0.7500 0.2062 x2  2 Pt 2.97, 7 Sm 3.22-3.28
Pt: 0.3314 0.7500 0.7037 x2  2 Sn 2.97, 5 Sm 2.98-3.11

## Properties
Crystal system: monoclinic
ΔH_f (0 K): -962 meV/atom
Size of the total moment: 0.00 μB per atom
Volume: 213.79 Å³/cell

=====

The records above give, respectively, final energy values of -90.5; -46.7 eV per cell.
The records above give, respectively, DOS(E_F) values of 7.4; 2.8 states/eV/cell.